A plane-wave DFT calculation with PBE was carried out for an optimized crystal structure of SbRh3N.

Lattice parameters (Å, degrees): 4.176 4.176 4.176 90.00 90.00 90.00
Atoms (fractional coordinates):
Sb 0.500 0.500 0.500
Rh 0.000 0.500 0.000
Rh 0.000 0.000 0.500
Rh 0.500 0.000 0.000
N 0.000 0.000 0.000

Results
* ΔE to the lowest computed polymorph: 0 meV per atom
* formation energy without anion corrections: 204.5 meV/atom
* total DFT energy (no corrections): -33.5 eV for the cell shown
* symmetry: Pm-3m, No. 221
* ρ: 10.1 Mg/m³
* D(E_F): 9.61 states/eV/f.u.